1.
Computed, not measured: a geometry-optimized GaAgC structure at the GGA-PBE level of DFT.

Calculated values
Calculated formation energy   0.606 eV per atom
Magnetization   0.00 μB per atom
Theoretical density   5.82 g/cm³

The structure in CIF format:
```
data_GaAgC
_symmetry_space_group_name_H-M 'P 1'
_symmetry_Int_Tables_number 1
_symmetry_space_group_name_Hall 'P 1'
_cell_length_a 4.5958
_cell_length_b 4.7600
_cell_length_c 5.8926
_cell_angle_alpha 79.44
_cell_angle_beta 67.20
_cell_angle_gamma 65.57
loop_
_atom_site_label
_atom_site_type_symbol
_atom_site_fract_x
_atom_site_fract_y
_atom_site_fract_z
Ga1 Ga 0.0000 0.0000 0.0000
Ga2 Ga 0.4120 0.2004 0.4235
Ag1 Ag 0.1233 0.8221 0.4223
Ag2 Ag 0.8526 0.5018 0.2495
C1 C 0.4411 0.0522 0.7872
C2 C 0.7260 0.0226 0.8006
```

2.
Computed, not measured: a geometry-optimized GaAgC structure at the GGA-PBE level of DFT.

Calculated values
Calculated formation energy   0.574 eV per atom
Magnetization   0.00 μB per atom
Theoretical density   5.92 g/cm³

The structure in CIF format:
```
data_GaAgC
_symmetry_space_group_name_H-M 'P -1'
_symmetry_Int_Tables_number 2
_symmetry_space_group_name_Hall '-P 1'
_cell_length_a 4.2661
_cell_length_b 5.3017
_cell_length_c 5.5258
_cell_angle_alpha 110.01
_cell_angle_beta 90.20
_cell_angle_gamma 113.48
loop_
_atom_site_label
_atom_site_type_symbol
_atom_site_fract_x
_atom_site_fract_y
_atom_site_fract_z
Ga1 Ga 0.0078 0.0134 0.2683
Ag1 Ag 0.2564 0.5114 0.6821
C1 C 0.3422 0.9997 0.9999
```

3.
Computed, not measured: a geometry-optimized GaAgC structure at the GGA-PBE level of DFT.

Calculated values
Calculated formation energy   0.838 eV per atom
Magnetization   0.00 μB per atom
Theoretical density   7.06 g/cm³

The structure in CIF format:
```
data_GaAgC
_symmetry_space_group_name_H-M 'P 63/m m c'
_symmetry_Int_Tables_number 194
_symmetry_space_group_name_Hall '-P 6c 2c'
_cell_length_a 3.4194
_cell_length_b 3.4194
_cell_length_c 8.8087
_cell_angle_alpha 90.00
_cell_angle_beta 90.00
_cell_angle_gamma 120.00
loop_
_atom_site_label
_atom_site_type_symbol
_atom_site_fract_x
_atom_site_fract_y
_atom_site_fract_z
Ga1 Ga 0.3333 0.6667 0.2500
Ag1 Ag 0.0000 0.0000 0.0000
C1 C 0.3333 0.6667 0.7500
```

4.
Computed, not measured: a geometry-optimized GaAgC structure at the GGA-PBE level of DFT.

Calculated values
Calculated formation energy   0.861 eV per atom
Magnetization   0.00 μB per atom
Theoretical density   3.26 g/cm³

The structure in CIF format:
```
data_GaAgC
_symmetry_space_group_name_H-M 'P n m a'
_symmetry_Int_Tables_number 62
_symmetry_space_group_name_Hall '-P 2ac 2n'
_cell_length_a 6.7123
_cell_length_b 6.3197
_cell_length_c 9.1115
_cell_angle_alpha 90.00
_cell_angle_beta 90.00
_cell_angle_gamma 90.00
loop_
_atom_site_label
_atom_site_type_symbol
_atom_site_fract_x
_atom_site_fract_y
_atom_site_fract_z
Ga1 Ga 0.0000 0.0000 0.0000
Ag1 Ag 0.2490 0.2500 0.2501
C1 C 0.0009 0.7500 0.8939
```

5.
Computed, not measured: a geometry-optimized GaAgC structure at the GGA-PBE level of DFT.

Calculated values
Calculated formation energy   0.813 eV per atom
Magnetization   0.00 μB per atom
Theoretical density   6.97 g/cm³

The structure in CIF format:
```
data_GaAgC
_symmetry_space_group_name_H-M 'P n m a'
_symmetry_Int_Tables_number 62
_symmetry_space_group_name_Hall '-P 2ac 2n'
_cell_length_a 10.8008
_cell_length_b 3.3073
_cell_length_c 5.0548
_cell_angle_alpha 90.00
_cell_angle_beta 90.00
_cell_angle_gamma 90.00
loop_
_atom_site_label
_atom_site_type_symbol
_atom_site_fract_x
_atom_site_fract_y
_atom_site_fract_z
Ga1 Ga 0.2211 0.2500 0.1088
Ag1 Ag 0.0140 0.2500 0.7380
C1 C 0.1696 0.7500 0.9215
```

6.
Computed, not measured: a geometry-optimized GaAgC structure at the GGA-PBE level of DFT.

Calculated values
Calculated formation energy   0.593 eV per atom
Magnetization   0.00 μB per atom
Theoretical density   6.77 g/cm³

The structure in CIF format:
```
data_GaAgC
_symmetry_space_group_name_H-M 'A m m 2'
_symmetry_Int_Tables_number 38
_symmetry_space_group_name_Hall 'A 2 -2'
_cell_length_a 4.4438
_cell_length_b 3.4728
_cell_length_c 6.0310
_cell_angle_alpha 90.00
_cell_angle_beta 90.00
_cell_angle_gamma 90.00
loop_
_atom_site_label
_atom_site_type_symbol
_atom_site_fract_x
_atom_site_fract_y
_atom_site_fract_z
Ga1 Ga 0.0000 0.0000 0.0000
Ag1 Ag 0.5000 0.0000 0.6675
C1 C 0.0000 0.0000 0.6672
```

7.
Computed, not measured: a geometry-optimized InGa2AgC structure at the GGA-PBE level of DFT.

Calculated values
Calculated formation energy   0.673 eV per atom
Magnetization   0.00 μB per atom
Theoretical density   6.84 g/cm³

The structure in CIF format:
```
data_InGa2AgC
_symmetry_space_group_name_H-M 'P 4/m m m'
_symmetry_Int_Tables_number 123
_symmetry_space_group_name_Hall '-P 4 2'
_cell_length_a 4.4454
_cell_length_b 4.4454
_cell_length_c 4.5984
_cell_angle_alpha 90.00
_cell_angle_beta 90.00
_cell_angle_gamma 90.00
loop_
_atom_site_label
_atom_site_type_symbol
_atom_site_fract_x
_atom_site_fract_y
_atom_site_fract_z
In1 In 0.0000 0.0000 0.0000
Ga1 Ga 0.0000 0.5000 0.5000
Ag1 Ag 0.5000 0.5000 0.0000
C1 C 0.5000 0.5000 0.5000
```

8.
Computed, not measured: a geometry-optimized LiGaAg2C structure at the GGA-PBE level of DFT.

Calculated values
Calculated formation energy   0.881 eV per atom
Magnetization   0.00 μB per atom
Theoretical density   5.19 g/cm³

The structure in CIF format:
```
data_LiGaAg2C
_symmetry_space_group_name_H-M 'P 4/m m m'
_symmetry_Int_Tables_number 123
_symmetry_space_group_name_Hall '-P 4 2'
_cell_length_a 5.0813
_cell_length_b 5.0813
_cell_length_c 3.7713
_cell_angle_alpha 90.00
_cell_angle_beta 90.00
_cell_angle_gamma 90.00
loop_
_atom_site_label
_atom_site_type_symbol
_atom_site_fract_x
_atom_site_fract_y
_atom_site_fract_z
Li1 Li 0.0000 0.0000 0.0000
Ga1 Ga 0.5000 0.5000 0.5000
Ag1 Ag 0.0000 0.5000 0.5000
C1 C 0.5000 0.5000 0.0000
```

9.
Computed, not measured: a geometry-optimized MgGa2AgC structure at the GGA-PBE level of DFT.

Calculated values
Calculated formation energy   1.223 eV per atom
Magnetization   0.00 μB per atom
Theoretical density   4.38 g/cm³

The structure in CIF format:
```
data_MgGa2AgC
_symmetry_space_group_name_H-M 'P 4/m m m'
_symmetry_Int_Tables_number 123
_symmetry_space_group_name_Hall '-P 4 2'
_cell_length_a 5.1944
_cell_length_b 5.1944
_cell_length_c 3.9883
_cell_angle_alpha 90.00
_cell_angle_beta 90.00
_cell_angle_gamma 90.00
loop_
_atom_site_label
_atom_site_type_symbol
_atom_site_fract_x
_atom_site_fract_y
_atom_site_fract_z
Mg1 Mg 0.0000 0.0000 0.0000
Ga1 Ga 0.0000 0.5000 0.0000
Ag1 Ag 0.5000 0.5000 0.5000
C1 C 0.0000 0.0000 0.5000
```

10.
Computed, not measured: a geometry-optimized NbGaAg2C structure at the GGA-PBE level of DFT.

Calculated values
Calculated formation energy   1.025 eV per atom
Magnetization   0.00 μB per atom
Theoretical density   7.96 g/cm³

The structure in CIF format:
```
data_NbGaAg2C
_symmetry_space_group_name_H-M 'P 4/m m m'
_symmetry_Int_Tables_number 123
_symmetry_space_group_name_Hall '-P 4 2'
_cell_length_a 4.1453
_cell_length_b 4.1453
_cell_length_c 4.7402
_cell_angle_alpha 90.00
_cell_angle_beta 90.00
_cell_angle_gamma 90.00
loop_
_atom_site_label
_atom_site_type_symbol
_atom_site_fract_x
_atom_site_fract_y
_atom_site_fract_z
Nb1 Nb 0.0000 0.0000 0.0000
Ga1 Ga 0.5000 0.5000 0.0000
Ag1 Ag 0.0000 0.5000 0.5000
C1 C 0.5000 0.5000 0.5000
```

11.
Computed, not measured: a geometry-optimized GaAg2C2O6 structure at the GGA-PBE level of DFT.

Calculated values
Energy relative to the elements, uncorrected   -1.016 eV per atom
Magnetization   0.00 μB per atom
Theoretical density   4.73 g/cm³

The structure in CIF format:
```
data_GaAg2C2O6
_symmetry_space_group_name_H-M 'P -3'
_symmetry_Int_Tables_number 147
_symmetry_space_group_name_Hall '-P 3'
_cell_length_a 4.6720
_cell_length_b 4.6720
_cell_length_c 7.5326
_cell_angle_alpha 90.00
_cell_angle_beta 90.00
_cell_angle_gamma 120.00
loop_
_atom_site_label
_atom_site_type_symbol
_atom_site_fract_x
_atom_site_fract_y
_atom_site_fract_z
Ga1 Ga 0.0000 0.0000 0.0000
Ag1 Ag 0.3333 0.6667 0.4001
C1 C 0.3333 0.6667 0.8486
O1 O 0.0711 0.3765 0.8444
```

12.
Computed, not measured: a geometry-optimized Ga2AgCO structure at the GGA-PBE level of DFT.

Calculated values
Energy relative to the elements, uncorrected   1.464 eV per atom
Magnetization   0.53 μB per atom
Theoretical density   4.30 g/cm³

The structure in CIF format:
```
data_Ga2AgCO
_symmetry_space_group_name_H-M 'P 4/m m m'
_symmetry_Int_Tables_number 123
_symmetry_space_group_name_Hall '-P 4 2'
_cell_length_a 5.1714
_cell_length_b 5.1714
_cell_length_c 3.9769
_cell_angle_alpha 90.00
_cell_angle_beta 90.00
_cell_angle_gamma 90.00
loop_
_atom_site_label
_atom_site_type_symbol
_atom_site_fract_x
_atom_site_fract_y
_atom_site_fract_z
Ga1 Ga 0.0000 0.5000 0.0000
Ag1 Ag 0.0000 0.0000 0.0000
C1 C 0.5000 0.5000 0.5000
O1 O 0.0000 0.0000 0.5000
```